[1]
Compound: Ce2Ga2Pd3
Source: Alexandria via LeMat-Bulk
Functional: PBE-GGA
Structure: relaxed

Calculated values
VASP energy in eV/atom: -5.533
Distance to the lowest polymorph of the same formula in eV per formula unit: 0.02
ΔH_f (0 K) in meV per atom: -747
Calculated volume in Å³/cell: 277.2
Density of states at the Fermi level in states/eV per atom: 1.26

Unit cell a=10.742 b=3.953 c=7.076 alpha=90.00 beta=112.71 gamma=90.00
Atoms (fractional coordinates):
Ce  0.130  0.000  0.271
Ce  0.370  0.500  0.729
Ce  0.630  0.500  0.271
Ce  0.870  0.000  0.729
Ga  0.157  0.000  0.727
Ga  0.343  0.500  0.273
Ga  0.657  0.500  0.727
Ga  0.843  0.000  0.273
Pd  0.000  0.500  0.500
Pd  0.116  0.500  0.937
Pd  0.384  0.000  0.063
Pd  0.500  0.000  0.500
Pd  0.616  0.000  0.937
Pd  0.884  0.500  0.063

***

[2]
Compound: CeGa6Pd4
Source: Alexandria via LeMat-Bulk
Functional: PBE-GGA
Structure: relaxed

Calculated values
VASP energy in eV/atom: -4.700
ΔH_f (0 K) in meV per atom: -622
Calculated volume in Å³/cell: 192.4
Density of states at the Fermi level in states/eV per atom: 1.01

Unit cell a=7.365 b=7.365 c=4.096 alpha=90.00 beta=90.00 gamma=120.00
Atoms (fractional coordinates):
Ce  0.000  0.000  0.000
Ga  0.198  0.396  0.500
Ga  0.198  0.802  0.500
Ga  0.535  0.070  0.000
Ga  0.535  0.465  0.000
Ga  0.604  0.802  0.500
Ga  0.930  0.465  0.000
Pd  0.333  0.667  0.000
Pd  0.404  0.202  0.500
Pd  0.798  0.202  0.500
Pd  0.798  0.596  0.500

***

> What is the calculated volume in the first record?

277.2 Å³/cell